Here is a relaxed structure of SmBeTl from OQMD. Energies are from PBE.

Computed properties:
* offset from the most stable computed form: 0 meV/atom
* raw total energy: -40.42 eV per cell

abc: 6.7447 6.7447 6.7447
angles: 90.00 90.00 90.00
Last column: nearest neighbours and their distance in Å.
Space group F-43m (No. 216)
Unique sites:
Sm: 0.0000 0.0000 0.0000 [4 per cell]  4 Tl 2.92
Be: 0.0000 0.0000 0.5000 [4 per cell]  4 Tl 2.92
Tl: 0.2500 0.2500 0.7500 [4 per cell]  4 Sm 2.92, 4 Be 2.92


Here is a relaxed structure of SmBeTl from OQMD. Energies are from PBE.

Computed properties:
* offset from the most stable computed form: 339 meV/atom
* raw total energy: -36.34 eV per cell

abc: 6.9334 6.9334 6.9334
angles: 90.00 90.00 90.00
Last column: nearest neighbours and their distance in Å.
Space group F-43m (No. 216)
Unique sites:
Sm: 0.0000 0.0000 0.0000 [4 per cell]  4 Be 3.00, 4 Tl 3.00
Be: 0.2500 0.2500 0.7500 [4 per cell]  4 Sm 3.00
Tl: 0.2500 0.2500 0.2500 [4 per cell]  4 Sm 3.00


Here is a relaxed structure of SmTmBe from OQMD. Energies are from PBE.

Computed properties:
* offset from the most stable computed form: 0 meV/atom
* raw total energy: -41.11 eV per cell

abc: 6.7144 6.7144 6.7144
angles: 90.00 90.00 90.00
Last column: nearest neighbours and their distance in Å.
Space group F-43m (No. 216)
Unique sites:
Sm: 0.0000 0.0000 0.0000 [4 per cell]  4 Tm 2.91
Tm: 0.2500 0.2500 0.7500 [4 per cell]  4 Be 2.91, 4 Sm 2.91
Be: 0.0000 0.0000 0.5000 [4 per cell]  4 Tm 2.91


Here is a relaxed structure of SmBe2Zn3 from OQMD. Energies are from PBE.

Computed properties:
* raw total energy: -17.07 eV per cell

abc: 5.1644 5.1644 3.8730
angles: 90.00 90.00 120.00
Last column: nearest neighbours and their distance in Å.
Space group P6/mmm (No. 191)
Unique sites:
Sm: 0.0000 0.0000 0.0000 [1 per cell]  6 Be 2.98, 12 Zn 3.23
Be: 0.3333 0.6667 0.0000 [2 per cell]  6 Zn 2.44
Zn: 0.0000 0.5000 0.5000 [3 per cell]  4 Be 2.44, 4 Zn 2.58


Here is a relaxed structure of SmBeZn from OQMD. Energies are from PBE.

Computed properties:
* offset from the most stable computed form: 390 meV/atom
* raw total energy: -31.62 eV per cell

abc: 6.5588 6.5588 6.5588
angles: 90.00 90.00 90.00
Last column: nearest neighbours and their distance in Å.
Space group F-43m (No. 216)
Unique sites:
Sm: 0.0000 0.0000 0.0000 [4 per cell]  4 Zn 2.84, 4 Be 2.84
Be: 0.2500 0.2500 0.7500 [4 per cell]  4 Sm 2.84
Zn: 0.2500 0.2500 0.2500 [4 per cell]  4 Sm 2.84


Here is a relaxed structure of SmBe4Zn8 from OQMD. Energies are from PBE.

Computed properties:
* offset from the most stable computed form: 0 meV/atom
* raw total energy: -62.68 eV per cell

abc: 8.5118 8.5118 4.8126
angles: 90.00 90.00 90.00
Last column: nearest neighbours and their distance in Å.
Space group I4/mmm (No. 139)
Unique sites:
Sm: 0.0000 0.0000 0.0000 [2 per cell]  12 Zn 2.96-3.06, 8 Be 3.24
Be: 0.2500 0.2500 0.2500 [8 per cell]  2 Be 2.41, 8 Zn 2.46-2.58
Zn: 0.0000 0.2223 0.5000 [8 per cell]  4 Be 2.46, 6 Zn 2.63-2.70
Zn: 0.0000 0.3475 0.0000 [8 per cell]  4 Be 2.58, 5 Zn 2.60-2.70


Here is a relaxed structure of SmBeZn from OQMD. Energies are from PBE.

Computed properties:
* offset from the most stable computed form: 0 meV/atom
* raw total energy: -36.30 eV per cell

abc: 6.3540 6.3540 6.3540
angles: 90.00 90.00 90.00
Last column: nearest neighbours and their distance in Å.
Space group F-43m (No. 216)
Unique sites:
Sm: 0.0000 0.0000 0.0000 [4 per cell]  4 Zn 2.75
Be: 0.0000 0.0000 0.5000 [4 per cell]  4 Zn 2.75
Zn: 0.2500 0.2500 0.7500 [4 per cell]  4 Be 2.75, 4 Sm 2.75


Here is a relaxed structure of SmBe4Zn8 from OQMD. Energies are from PBE.

Computed properties:
* offset from the most stable computed form: 120 meV/atom
* raw total energy: -59.56 eV per cell

abc: 8.5440 8.5440 4.9880
angles: 90.00 90.00 90.00
Last column: nearest neighbours and their distance in Å.
Space group I4/mmm (No. 139)
Unique sites:
Sm: 0.0000 0.0000 0.0000 [2 per cell]  4 Be 3.11, 16 Zn 3.23-3.27
Be: 0.0000 0.3645 0.0000 [8 per cell]  1 Be 2.31, 2 Zn 2.51
Zn: 0.0000 0.2398 0.5000 [8 per cell]  4 Zn 2.47, 4 Be 2.51-2.71
Zn: 0.2500 0.2500 0.2500 [8 per cell]  6 Zn 2.47-2.49, 4 Be 2.66


Here is a relaxed structure of SmBe4Zn8 from OQMD. Energies are from PBE.

Computed properties:
* offset from the most stable computed form: 64 meV/atom
* raw total energy: -61.01 eV per cell

abc: 8.4614 8.4614 4.9834
angles: 90.00 90.00 90.00
Last column: nearest neighbours and their distance in Å.
Space group I4/mmm (No. 139)
Unique sites:
Sm: 0.0000 0.0000 0.0000 [2 per cell]  12 Zn 3.00-3.24, 8 Be 3.05
Be: 0.0000 0.2078 0.5000 [8 per cell]  6 Zn 2.48-2.76, 2 Be 2.49
Zn: 0.0000 0.3547 0.0000 [8 per cell]  5 Zn 2.46-2.61
Zn: 0.2500 0.2500 0.2500 [8 per cell]  4 Be 2.48, 6 Zn 2.49-2.61


Here is a relaxed structure of TaBe2Sn from OQMD. Energies are from PBE.

Computed properties:
* raw total energy: -80.17 eV per cell

abc: 6.3135 6.3135 6.3135
angles: 90.00 90.00 90.00
Last column: nearest neighbours and their distance in Å.
Space group F-43m (No. 216)
Unique sites:
Ta: 0.0000 0.0000 0.0000 [4 per cell]  4 Be 2.73, 4 Sn 2.73
Be: 0.0000 0.0000 0.5000 [4 per cell]  4 Sn 2.73, 4 Be 2.73
Be: 0.2500 0.2500 0.2500 [4 per cell]  4 Ta 2.73, 4 Be 2.73
Sn: 0.2500 0.2500 0.7500 [4 per cell]  4 Ta 2.73, 4 Be 2.73


Here is a relaxed structure of BeTc2Sn from OQMD. Energies are from PBE.

Computed properties:
* raw total energy: -109.53 eV per cell

abc: 6.1829 6.1829 6.1829
angles: 90.00 90.00 90.00
Last column: nearest neighbours and their distance in Å.
Space group F-43m (No. 216)
Unique sites:
Be: 0.0000 0.0000 0.0000 [4 per cell]  4 Sn 2.68, 4 Tc 2.68
Tc: 0.0000 0.0000 0.5000 [4 per cell]  4 Tc 2.68, 4 Sn 2.68
Tc: 0.2500 0.2500 0.2500 [4 per cell]  4 Tc 2.68, 4 Be 2.68
Sn: 0.2500 0.2500 0.7500 [4 per cell]  4 Tc 2.68, 4 Be 2.68


Here is a relaxed structure of BeTcSn2 from OQMD. Energies are from PBE.

Computed properties:
* raw total energy: -75.81 eV per cell

abc: 6.6159 6.6159 6.6159
angles: 90.00 90.00 90.00
Last column: nearest neighbours and their distance in Å.
Space group F-43m (No. 216)
Unique sites:
Be: 0.0000 0.0000 0.0000 [4 per cell]  4 Tc 2.86, 4 Sn 2.86
Tc: 0.2500 0.2500 0.7500 [4 per cell]  4 Sn 2.86, 4 Be 2.86
Sn: 0.0000 0.0000 0.5000 [4 per cell]  4 Sn 2.86, 4 Tc 2.86
Sn: 0.2500 0.2500 0.2500 [4 per cell]  4 Sn 2.86, 4 Be 2.86


Here is a relaxed structure of TmBeSn from OQMD. Energies are from PBE.

Computed properties:
* raw total energy: -44.23 eV per cell

abc: 6.7282 6.7282 6.7282
angles: 90.00 90.00 90.00
Last column: nearest neighbours and their distance in Å.
Space group F-43m (No. 216)
Unique sites:
Tm: 0.0000 0.0000 0.0000 [4 per cell]  4 Sn 2.91, 4 Be 2.91
Be: 0.2500 0.2500 0.7500 [4 per cell]  4 Tm 2.91
Sn: 0.2500 0.2500 0.2500 [4 per cell]  4 Tm 2.91


Here is a relaxed structure of TmBeSn from OQMD. Energies are from PBE.

Computed properties:
* raw total energy: -46.65 eV per cell

abc: 6.5647 6.5647 6.5647
angles: 90.00 90.00 90.00
Last column: nearest neighbours and their distance in Å.
Space group F-43m (No. 216)
Unique sites:
Tm: 0.0000 0.0000 0.0000 [4 per cell]  4 Sn 2.84
Be: 0.0000 0.0000 0.5000 [4 per cell]  4 Sn 2.84
Sn: 0.2500 0.2500 0.7500 [4 per cell]  4 Be 2.84, 4 Tm 2.84


Here is a relaxed structure of UBeSn from OQMD. Energies are from PBE.

Computed properties:
* offset from the most stable computed form: 0 meV/atom
* raw total energy: -72.45 eV per cell

abc: 6.3495 6.3495 6.3495
angles: 90.00 90.00 90.00
Last column: nearest neighbours and their distance in Å.
Space group F-43m (No. 216)
Unique sites:
U: 0.0000 0.0000 0.0000 [4 per cell]  4 Be 2.75
Be: 0.2500 0.2500 0.7500 [4 per cell]  4 Sn 2.75, 4 U 2.75
Sn: 0.0000 0.0000 0.5000 [4 per cell]  4 Be 2.75


Here is a relaxed structure of UBeSn from OQMD. Energies are from PBE.

Computed properties:
* offset from the most stable computed form: 668 meV/atom
* raw total energy: -64.44 eV per cell

abc: 6.8023 6.8023 6.8023
angles: 90.00 90.00 90.00
Last column: nearest neighbours and their distance in Å.
Space group F-43m (No. 216)
Unique sites:
U: 0.0000 0.0000 0.0000 [4 per cell]  4 Be 2.95, 4 Sn 2.95
Be: 0.2500 0.2500 0.7500 [4 per cell]  4 U 2.95
Sn: 0.2500 0.2500 0.2500 [4 per cell]  4 U 2.95


Here is a relaxed structure of BeSnW from OQMD. Energies are from PBE.

Computed properties:
* offset from the most stable computed form: 0 meV/atom
* raw total energy: -73.12 eV per cell

abc: 5.8407 5.8407 5.8407
angles: 90.00 90.00 90.00
Last column: nearest neighbours and their distance in Å.
Space group F-43m (No. 216)
Unique sites:
Be: 0.0000 0.0000 0.0000 [4 per cell]  4 Sn 2.53, 4 W 2.53
Sn: 0.2500 0.2500 0.7500 [4 per cell]  4 Be 2.53
W: 0.2500 0.2500 0.2500 [4 per cell]  4 Be 2.53


Here is a relaxed structure of BeSnW from OQMD. Energies are from PBE.

Computed properties:
* offset from the most stable computed form: 324 meV/atom
* raw total energy: -69.23 eV per cell

abc: 6.1857 6.1857 6.1857
angles: 90.00 90.00 90.00
Last column: nearest neighbours and their distance in Å.
Space group F-43m (No. 216)
Unique sites:
Be: 0.0000 0.0000 0.0000 [4 per cell]  4 W 2.68
Sn: 0.0000 0.0000 0.5000 [4 per cell]  4 W 2.68
W: 0.2500 0.2500 0.2500 [4 per cell]  4 Sn 2.68, 4 Be 2.68


Here is a relaxed structure of SrTbBe from OQMD. Energies are from PBE.

Computed properties:
* raw total energy: -34.03 eV per cell

abc: 7.1538 7.1538 7.1538
angles: 90.00 90.00 90.00
Last column: nearest neighbours and their distance in Å.
Space group F-43m (No. 216)
Unique sites:
Sr: 0.0000 0.0000 0.0000 [4 per cell]  4 Be 3.10
Tb: 0.0000 0.0000 0.5000 [4 per cell]  4 Be 3.10
Be: 0.2500 0.2500 0.2500 [4 per cell]  4 Tb 3.10, 4 Sr 3.10


Here is a relaxed structure of Sr2BeTc from OQMD. Energies are from PBE.

Computed properties:
* raw total energy: -54.11 eV per cell

abc: 7.1401 7.1401 7.1401
angles: 90.00 90.00 90.00
Last column: nearest neighbours and their distance in Å.
Space group F-43m (No. 216)
Unique sites:
Sr: 0.0000 0.0000 0.0000 [4 per cell]  4 Tc 3.09, 4 Sr 3.09
Sr: 0.2500 0.2500 0.2500 [4 per cell]  4 Be 3.09, 4 Sr 3.09
Be: 0.0000 0.0000 0.5000 [4 per cell]  4 Sr 3.09, 4 Tc 3.09
Tc: 0.2500 0.2500 0.7500 [4 per cell]  4 Be 3.09, 4 Sr 3.09


Here is a relaxed structure of SrBeTc from OQMD. Energies are from PBE.

Computed properties:
* offset from the most stable computed form: 820 meV/atom
* raw total energy: -39.73 eV per cell

abc: 6.8084 6.8084 6.8084
angles: 90.00 90.00 90.00
Last column: nearest neighbours and their distance in Å.
Space group F-43m (No. 216)
Unique sites:
Sr: 0.0000 0.0000 0.0000 [4 per cell]  4 Tc 2.95, 4 Be 2.95
Be: 0.2500 0.2500 0.7500 [4 per cell]  4 Sr 2.95
Tc: 0.2500 0.2500 0.2500 [4 per cell]  4 Sr 2.95


Here is a relaxed structure of SrBeTc from OQMD. Energies are from PBE.

Computed properties:
* offset from the most stable computed form: 0 meV/atom
* raw total energy: -49.57 eV per cell

abc: 6.3521 6.3521 6.3521
angles: 90.00 90.00 90.00
Last column: nearest neighbours and their distance in Å.
Space group F-43m (No. 216)
Unique sites:
Sr: 0.0000 0.0000 0.0000 [4 per cell]  4 Be 2.75
Be: 0.2500 0.2500 0.2500 [4 per cell]  4 Tc 2.75, 4 Sr 2.75
Tc: 0.0000 0.0000 0.5000 [4 per cell]  4 Be 2.75


Here is a relaxed structure of SrThBe from OQMD. Energies are from PBE.

Computed properties:
* offset from the most stable computed form: 0 meV/atom
* raw total energy: -43.38 eV per cell

abc: 7.1061 7.1061 7.1061
angles: 90.00 90.00 90.00
Last column: nearest neighbours and their distance in Å.
Space group F-43m (No. 216)
Unique sites:
Sr: 0.0000 0.0000 0.0000 [4 per cell]  4 Be 3.08
Th: 0.0000 0.0000 0.5000 [4 per cell]  4 Be 3.08
Be: 0.2500 0.2500 0.2500 [4 per cell]  4 Th 3.08, 4 Sr 3.08


Here is a relaxed structure of SrUBe from OQMD. Energies are from PBE.

Computed properties:
* offset from the most stable computed form: 0 meV/atom
* raw total energy: -52.11 eV per cell

abc: 6.9680 6.9680 6.9680
angles: 90.00 90.00 90.00
Last column: nearest neighbours and their distance in Å.
Space group F-43m (No. 216)
Unique sites:
Sr: 0.0000 0.0000 0.0000 [4 per cell]  4 Be 3.02
U: 0.0000 0.0000 0.5000 [4 per cell]  4 Be 3.02
Be: 0.2500 0.2500 0.2500 [4 per cell]  4 U 3.02, 4 Sr 3.02


Here is a relaxed structure of SrBeZn from OQMD. Energies are from PBE.

Computed properties:
* raw total energy: -16.45 eV per cell

abc: 7.0425 7.0425 7.0425
angles: 90.00 90.00 90.00
Last column: nearest neighbours and their distance in Å.
Space group F-43m (No. 216)
Unique sites:
Sr: 0.0000 0.0000 0.0000 [4 per cell]  4 Zn 3.05, 4 Be 3.05
Be: 0.2500 0.2500 0.7500 [4 per cell]  4 Sr 3.05
Zn: 0.2500 0.2500 0.2500 [4 per cell]  4 Sr 3.05


Here is a relaxed structure of Sr2BeZn from OQMD. Energies are from PBE.

Computed properties:
* raw total energy: -27.56 eV per cell

abc: 7.2895 7.2895 7.2895
angles: 90.00 90.00 90.00
Last column: nearest neighbours and their distance in Å.
Space group F-43m (No. 216)
Unique sites:
Sr: 0.0000 0.0000 0.0000 [4 per cell]  4 Sr 3.16, 4 Zn 3.16
Sr: 0.2500 0.2500 0.2500 [4 per cell]  4 Be 3.16, 4 Sr 3.16
Be: 0.0000 0.0000 0.5000 [4 per cell]  4 Sr 3.16, 4 Zn 3.16
Zn: 0.2500 0.2500 0.7500 [4 per cell]  4 Be 3.16, 4 Sr 3.16


Here is a relaxed structure of TaBe from OQMD. Energies are from PBE.

Computed properties:
* offset from the most stable computed form: 0 meV/atom
* raw total energy: -59.83 eV per cell

abc: 4.8019 4.8019 4.8019
angles: 90.00 90.00 90.00
Last column: nearest neighbours and their distance in Å.
Space group Fm-3m (No. 225)
Unique sites:
Ta: 0.0000 0.0000 0.0000 [4 per cell]  6 Be 2.40
Be: 0.0000 0.0000 0.5000 [4 per cell]  6 Ta 2.40


Here is a relaxed structure of Ta2Be from OQMD. Energies are from PBE.

Computed properties:
* offset from the most stable computed form: 2631 meV/atom
* raw total energy: -134.00 eV per cell

abc: 9.7349 9.7349 9.7349
angles: 90.00 90.00 90.00
Last column: nearest neighbours and their distance in Å.
Space group Fd-3m (No. 227, origin choice 2)
Unique sites:
Ta: 0.0000 0.0000 0.0000 [16 per cell]  2 Be 2.11
Be: 0.1250 0.1250 0.1250 [8 per cell]  4 Ta 2.11


Here is a relaxed structure of Ta5Be from OQMD. Energies are from PBE.

Computed properties:
* raw total energy: -57.39 eV per cell

abc: 5.5214 5.5214 4.5944
angles: 90.00 90.00 120.00
Last column: nearest neighbours and their distance in Å.
Space group P6/mmm (No. 191)
Unique sites:
Ta: 0.0000 0.5000 0.0000 [3 per cell]  8 Ta 2.76-2.80
Ta: 0.3333 0.6667 0.5000 [2 per cell]  6 Ta 2.80
Be: 0.0000 0.0000 0.5000 [1 per cell]  6 Ta 3.19


Here is a relaxed structure of TaBe from OQMD. Energies are from PBE.

Computed properties:
* offset from the most stable computed form: 78 meV/atom
* raw total energy: -14.80 eV per cell

abc: 2.8088 2.8088 4.2981
angles: 90.00 90.00 120.00
Last column: nearest neighbours and their distance in Å.
Space group P-6m2 (No. 187)
Unique sites:
Ta: 0.0000 0.0000 0.0000 [1 per cell]  6 Be 2.69, 6 Ta 2.81
Be: 0.3333 0.6667 0.5000 [1 per cell]  6 Ta 2.69, 6 Be 2.81